[1]
Material: K2AlCuHg
Method: DFT, GGA-PBEsol
State: relaxed

```
K2AlCuHg
1.0
-0.897 -3.059 -3.742
1.581 -4.594 3.376
-5.598 -0.587 1.822
K Hg Cu Al
2 1 1 1
direct
0.000 0.000 0.500
0.000 0.500 0.000
0.500 0.000 0.000
0.000 0.000 0.000
0.500 0.500 0.500
```

total energy = -1.7582 eV/atom
space group = P4/mmm (123)


[2]
Material: Li2ScW
Method: DFT, GGA-PBEsol
State: relaxed

```
Li2ScW
1.0
-2.072 -0.345 1.753
3.245 -1.219 3.594
-0.282 5.237 -1.437
Li Sc W
2 1 1
direct
0.018 0.018 0.036
0.730 0.230 0.461
0.495 0.495 0.990
0.257 0.757 0.514
```

total energy = -5.5593 eV/atom
E above lowest polymorph = 0.183 eV per atom
space group = Imm2 (44)


[3]
Material: Al2SiBr
Method: DFT, GGA-PBEsol
State: relaxed

```
Al2SiBr
1.0
-1.407 -1.197 -2.364
4.145 -2.344 -1.280
-1.336 -3.867 2.752
Si Al Br
1 2 1
direct
0.500 0.000 0.000
0.000 0.000 0.500
0.000 0.500 0.000
0.500 0.500 0.500
```

total energy = -3.7451 eV/atom
E_form (uncorrected) = 0.2049 eV per atom
E above lowest polymorph = 0.111 eV per atom
space group = P4/mmm (123)


[4]
Material: H2WO4
Method: DFT, GGA-PBEsol
State: relaxed

```
H2WO4
1.0
-3.963 -1.093 -3.092
0.137 -5.103 1.628
-6.842 2.349 7.939
H W O
8 4 16
direct
0.897 0.250 0.512
0.397 0.750 0.988
0.103 0.750 0.488
0.603 0.250 0.012
0.784 0.750 0.471
0.284 0.250 0.029
0.216 0.250 0.529
0.716 0.750 0.971
0.971 0.250 0.777
0.471 0.750 0.723
0.029 0.750 0.223
0.529 0.250 0.277
0.620 0.250 0.434
0.120 0.750 0.066
0.380 0.750 0.566
0.048 0.250 0.572
0.280 0.997 0.279
0.780 0.003 0.221
0.548 0.750 0.928
0.220 0.503 0.779
0.720 0.003 0.721
0.220 0.997 0.779
0.280 0.503 0.279
0.780 0.497 0.221
0.952 0.750 0.428
0.452 0.250 0.072
0.880 0.250 0.934
0.720 0.497 0.721
```

total energy = -7.5571 eV/atom
space group = Pnma (62)


[5]
Material: SrCaIn2
Method: DFT, GGA-PBEsol
State: relaxed

```
SrCaIn2
1.0
3.910 0.000 0.000
0.000 3.910 0.000
0.000 0.000 7.698
Sr Ca In
1 1 2
direct
0.500 0.500 0.000
0.500 0.500 0.500
0.000 0.000 0.724
0.000 0.000 0.276
```

total energy = -2.9744 eV/atom
E above lowest polymorph = 0.000 eV per atom
space group = P4/mmm (123)


[6]
Material: CaIn2Cl
Method: DFT, GGA-PBEsol
State: relaxed

```
CaIn2Cl
1.0
-0.293 -0.769 -3.345
1.421 -2.600 1.757
-8.594 -3.626 1.587
Ca Cl In
1 1 2
direct
0.500 0.500 0.500
0.500 0.500 0.000
0.000 0.000 0.231
0.000 0.000 0.769
```

total energy = -2.8794 eV/atom
E_form (uncorrected) = -0.3527 eV per atom
space group = Cmmm (65)


[7]
Material: Li2CaBi2
Method: DFT, GGA-PBEsol
State: relaxed

```
Li2CaBi2
1.0
3.481 0.000 0.000
0.000 8.272 0.000
0.000 0.000 8.272
Ca Bi Li
2 4 4
direct
0.000 0.000 0.000
0.000 0.500 0.500
0.500 0.179 0.679
0.500 0.679 0.821
0.500 0.821 0.321
0.500 0.321 0.179
0.000 0.385 0.885
0.000 0.885 0.615
0.000 0.615 0.115
0.000 0.115 0.385
```

total energy = -3.4960 eV/atom
E above lowest polymorph = 0.000 eV per atom
space group = P4/mbm (127)


[8]
Material: Te2AuCl
Method: DFT, GGA-PBEsol
State: relaxed

```
Te2AuCl
1.0
3.622 0.000 0.000
0.000 3.622 0.000
0.000 0.000 7.319
Te Au Cl
2 1 1
direct
0.000 0.000 0.803
0.000 0.000 0.197
0.500 0.500 0.000
0.500 0.500 0.500
```

total energy = -3.1742 eV/atom
E_form (uncorrected) = 0.0718 eV per atom
space group = P4/mmm (123)


[9]
Material: K3TbB2O6
Method: DFT, GGA-PBEsol
State: relaxed

```
K3TbB2O6
1.0
-5.296 -1.604 -0.157
1.607 -4.867 -4.463
1.594 -5.952 7.065
K Tb B O
6 2 4 12
direct
0.000 0.274 0.668
0.000 0.726 0.332
0.500 0.226 0.168
0.500 0.774 0.832
0.500 0.000 0.500
0.000 0.500 0.000
0.000 0.000 0.000
0.500 0.500 0.500
0.000 0.263 0.334
0.000 0.737 0.666
0.500 0.237 0.834
0.500 0.763 0.166
0.217 0.299 0.404
0.783 0.701 0.596
0.217 0.701 0.596
0.283 0.201 0.904
0.783 0.299 0.404
0.717 0.799 0.096
0.283 0.799 0.096
0.717 0.201 0.904
0.000 0.193 0.195
0.000 0.807 0.805
0.500 0.307 0.695
0.500 0.693 0.305
```

total energy = -7.0093 eV/atom
E_form (uncorrected) = -2.5144 eV per atom
space group = Pnnm (58)


[10]
Material: LaZrGe2Br
Method: DFT, GGA-PBEsol
State: relaxed

```
LaZrGe2Br
1.0
-2.577 -0.334 -4.370
4.327 -1.001 -2.475
-0.712 -5.076 0.808
Ge Br Zr La
2 1 1 1
direct
0.000 0.500 0.000
0.500 0.000 0.000
0.000 0.000 0.500
0.000 0.000 0.000
0.500 0.500 0.500
```

total energy = -5.6364 eV/atom
E_form (uncorrected) = -0.3996 eV per atom
space group = P4/mmm (123)


[11]
Material: ScCdNi
Method: DFT, GGA-PBEsol
State: relaxed

```
ScCdNi
1.0
3.297 0.000 0.000
0.000 3.297 0.000
-1.649 -1.649 4.598
Sc Ni Cd
1 1 1
direct
0.314 0.314 0.627
0.677 0.677 0.354
0.010 0.010 0.019
```

total energy = -4.9904 eV/atom
space group = I4mm (107)


[12]
Material: Li2As
Method: DFT, GGA-PBEsol
State: relaxed

```
Li2As
1.0
-2.521 -0.311 1.422
3.176 -2.412 2.123
1.622 5.782 4.144
As Li
2 4
direct
0.129 0.258 0.902
0.871 0.742 0.402
0.410 0.821 0.722
0.590 0.179 0.222
0.148 0.296 0.544
0.852 0.704 0.044
```

total energy = -3.6254 eV/atom
E above lowest polymorph = 0.039 eV per atom
space group = Cmc2_1 (36)